Entry 1:
Compound: LiCd2Mo
Source: Alexandria
Functional: GGA-PBE
Structure: relaxed

Lattice parameters (Å, degrees): 4.164 4.164 8.434 90.00 90.00 90.00
Space group I-4m2 (No. 119)
Symmetry-distinct sites (fractional):
Li 0.000 0.000 0.000 [2 per cell]
Cd 0.000 0.000 0.500 [2 per cell]
Cd 0.000 0.500 0.250 [2 per cell]
Mo 0.000 0.500 0.750 [2 per cell]

Entry 2:
Compound: Li2CdMo
Source: Alexandria
Functional: GGA-PBE
Structure: relaxed

Lattice parameters (Å, degrees): 2.7993 2.7993 30.1035 90.00 90.00 120.00
Space group R-3m (No. 166, hexagonal axes)
Symmetry-distinct sites (fractional):
Li 0.0000 0.0000 0.2470 [6 per cell]
Cd 0.0000 0.0000 0.0000 [3 per cell]
Mo 0.0000 0.0000 0.5000 [3 per cell]

Entry 3:
Compound: Li2CdMo
Source: Alexandria
Functional: GGA-PBE
Structure: relaxed

Lattice parameters (Å, degrees): 2.651 5.164 10.110 90.00 90.00 90.00
Space group Immm (No. 71)
Symmetry-distinct sites (fractional):
Li 0.000 0.000 0.247 [4 per cell]
Cd 0.000 0.500 0.500 [2 per cell]
Mo 0.000 0.500 0.000 [2 per cell]

Entry 4:
Compound: LiCdMo2
Source: Alexandria
Functional: GGA-PBE
Structure: relaxed

Lattice parameters (Å, degrees): 5.191 9.684 2.681 90.00 103.07 90.00
Space group C2/m (No. 12)
Symmetry-distinct sites (fractional):
Li 0.000 0.000 0.000 [2 per cell]
Cd 0.000 0.500 0.000 [2 per cell]
Mo 0.250 0.250 0.500 [4 per cell]

Entry 5:
Compound: Li2CdMo
Source: Alexandria
Functional: GGA-PBE
Structure: relaxed

Lattice parameters (Å, degrees): 9.701 2.667 5.306 90.00 96.24 90.00
Space group C2/m (No. 12)
Symmetry-distinct sites (fractional):
Li 0.249 0.000 0.270 [4 per cell]
Cd 0.000 0.500 0.000 [2 per cell]
Mo 0.000 0.000 0.500 [2 per cell]

Entry 6:
Compound: LiCdMo2
Source: Alexandria
Functional: GGA-PBE
Structure: relaxed

Lattice parameters (Å, degrees): 3.252 3.252 6.376 90.00 90.00 90.00
Space group P4mm (No. 99)
Symmetry-distinct sites (fractional):
Li 0.000 0.000 0.000 [1 per cell]
Cd 0.500 0.500 0.767 [1 per cell]
Mo 0.000 0.000 0.452 [1 per cell]
Mo 0.500 0.500 0.265 [1 per cell]

Number 1: ρ 7.44 g/cm3, raw total energy -3.17 eV/atom. Number 2: ρ 5.42 g/cm3, raw total energy -3.68 eV/atom. Number 3: ρ 5.33 g/cm3, raw total energy -3.53 eV/atom. Number 4: ρ 7.87 g/cm3, raw total energy -5.76 eV/atom. Number 5: ρ 5.41 g/cm3, raw total energy -3.57 eV/atom. Number 6: ρ 7.66 g/cm3, raw total energy -5.85 eV/atom.